GaReTc2 after structural relaxation, computed with PBE.

Cell: 7.092 7.092 5.270 Å, 90.00 90.00 90.00°
Space group I-42d (No. 122)
Symmetry-distinct sites (fractional):
1 Ga 0.000 0.000 0.000
2 Re 0.000 0.000 0.500
3 Tc 0.224 0.250 0.625

The value obtained for the energy relative to the lowest polymorph listed for this composition is 0.753 eV/atom. For the total energy, the calculation gives -8.352 eV per atom. As for the mass density: 11.32 g/cm3. For the total magnetic moment, the calculation gives 0.00 μB per formula unit. The formation energy is 2.80 eV per formula unit.

---

GePbF4 after structural relaxation, computed with PBE.

Cell: 7.852 7.852 7.693 Å, 90.00 90.00 90.00°
Space group I4_1/amd (No. 141, origin choice 2)
Symmetry-distinct sites (fractional):
1 Ge 0.000 0.250 0.375
2 Pb 0.000 0.250 0.875
3 F 0.000 0.067 0.176

For the total energy, the calculation gives -4.771 eV per atom. As for the mass density: 4.98 g/cm3. For the total magnetic moment, the calculation gives 0.00 μB per formula unit.

---

B2Pb2O after structural relaxation, computed with PBE.

Cell: 5.097 5.097 6.126 Å, 90.00 90.00 90.00°
Space group I4/mmm (No. 139)
Symmetry-distinct sites (fractional):
1 B 0.000 0.000 0.135
2 Pb 0.000 0.500 0.250
3 O 0.000 0.000 0.500

The value obtained for the energy relative to the lowest polymorph listed for this composition is 0.000 eV/atom. For the total energy, the calculation gives -4.365 eV per atom. As for the mass density: 9.43 g/cm3. For the total magnetic moment, the calculation gives 0.00 μB per formula unit.

---

CsRbN2 after structural relaxation, computed with PBE.

Cell: 4.729 6.531 10.353 Å, 90.00 94.05 90.55°
Space group P-1 (No. 2)
Symmetry-distinct sites (fractional):
1 Cs 0.240 0.249 0.121
2 Rb 0.265 0.250 0.650
3 N 0.161 0.749 0.155
4 N 0.332 0.750 0.077

The value obtained for the energy relative to the lowest polymorph listed for this composition is 0.000 eV/atom. For the total energy, the calculation gives -4.695 eV per atom. As for the mass density: 2.57 g/cm3. For the total magnetic moment, the calculation gives 0.00 μB per formula unit.

---

Tb4Sm2Y2Ho after structural relaxation, computed with PBE.

Cell: 18.721 3.606 9.585 Å, 90.00 115.73 90.00°
Space group C2/m (No. 12)
Symmetry-distinct sites (fractional):
1 Tb 0.019 0.000 0.333
2 Tb 0.185 0.500 0.335
3 Sm 0.166 0.000 0.000
4 Y 0.147 0.500 0.665
5 Ho 0.000 0.500 0.000

For the total energy, the calculation gives -5.053 eV per atom. As for the mass density: 7.29 g/cm3. For the total magnetic moment, the calculation gives 0.00 μB per formula unit. The formation energy is -0.01 eV per formula unit.

---

Si2AgRh after structural relaxation, computed with PBE.

Cell: 6.174 6.174 6.174 Å, 90.00 90.00 90.00°
Space group Fm-3m (No. 225)
Symmetry-distinct sites (fractional):
1 Si 0.250 0.250 0.250
2 Ag 0.000 0.000 0.000
3 Rh 0.000 0.000 0.500

The value obtained for the energy relative to the lowest polymorph listed for this composition is 0.231 eV/atom. For the total energy, the calculation gives -5.200 eV per atom. As for the mass density: 7.54 g/cm3. For the total magnetic moment, the calculation gives 0.00 μB per formula unit.

---

Fe3NiRh6 after structural relaxation, computed with PBE.

Cell: 7.101 4.311 9.341 Å, 90.00 110.40 90.00°
Space group P2_1/m (No. 11)
Symmetry-distinct sites (fractional):
1 Fe 0.097 0.250 0.233
2 Fe 0.294 0.250 0.029
3 Fe 0.307 0.750 0.372
4 Ni 0.101 0.750 0.568
5 Rh 0.086 0.250 0.723
6 Rh 0.106 0.750 0.071
7 Rh 0.287 0.250 0.527
8 Rh 0.296 0.750 0.866
9 Rh 0.495 0.250 0.331
10 Rh 0.498 0.250 0.835

For the total energy, the calculation gives -7.540 eV per atom. As for the mass density: 10.45 g/cm3. For the total magnetic moment, the calculation gives 10.59 μB per formula unit. The formation energy is -0.12 eV per formula unit.

---

KZn2Co after structural relaxation, computed with PBE.

Cell: 8.771 2.766 7.099 Å, 90.00 95.48 90.00°
Space group Cm (No. 8)
Symmetry-distinct sites (fractional):
1 K 0.000 0.000 0.000
2 Zn 0.233 0.000 0.640
3 Zn 0.495 0.000 0.436
4 Co 0.263 0.500 0.363

The value obtained for the energy relative to the lowest polymorph listed for this composition is 0.080 eV/atom. For the total energy, the calculation gives -2.329 eV per atom. As for the mass density: 4.43 g/cm3. For the total magnetic moment, the calculation gives 0.86 μB per formula unit. The formation energy is 1.44 eV per formula unit.

---

Question: Which value of total energy does entry 2 give?
Answer: -4.771 eV per atom

---

Question: Which value of total magnetic moment does entry 1 give?
Answer: 0.00 μB per formula unit

---

Question: The lowest total energy belongs to which entry?
Answer: GaReTc2